Record 1
The following is a DFT calculation (PBE-GGA) of an optimized crystal structure of ZrNiIr.

Values from the calculation:
The calculated formation energy is -0.337 eV/atom. As for the total energy: -24.201 eV for the cell shown. The value obtained for the magnetic moment is 0.0 μB per cell.

a = 4.3519 Å, b = 4.3519 Å, c = 2.8880 Å
α = 90.00°, β = 90.00°, γ = 120.00°
Closest atoms and distances in Å follow each position.
Space group P3m1 (No. 156)
One atom of each set of equivalent atoms:
Zr 0.0000 0.0000 0.0000 (multiplicity 1)  3 Ni 2.63, 3 Ir 2.73, 2 Zr 2.89
Ni 0.3333 0.6667 0.7285 (multiplicity 1)  3 Zr 2.63, 3 Ir 2.72, 2 Ni 2.89
Ir 0.6667 0.3333 0.3663 (multiplicity 1)  3 Ni 2.72, 3 Zr 2.73, 2 Ir 2.89



Record 2
The following is a DFT calculation (PBE-GGA) of an optimized crystal structure of La5Ru3.

Values from the calculation:
The calculated formation energy is -0.268 eV/atom. As for the total energy: -109.213 eV for the cell shown. The value obtained for the magnetic moment is 0.0 μB per cell. The energy relative to the lowest polymorph listed for this composition comes out at 0 meV/atom.

a = 6.5066 Å, b = 7.6500 Å, c = 9.0249 Å
α = 87.92°, β = 77.82°, γ = 80.15°
Closest atoms and distances in Å follow each position.
Space group P-1 (No. 2)
One atom of each set of equivalent atoms:
La 0.0077 0.2990 0.3467 (multiplicity 2)  4 Ru 2.96-3.15
La 0.1161 0.8322 0.2393 (multiplicity 2)  4 Ru 2.85-3.09
La 0.2725 0.4313 0.9609 (multiplicity 2)  2 Ru 2.66-2.86
La 0.3995 0.8943 0.8125 (multiplicity 2)  4 Ru 3.01-3.29
La 0.4322 0.2896 0.5635 (multiplicity 2)  4 Ru 2.78-3.02
Ru 0.0361 0.1777 0.0338 (multiplicity 2)  3 La 2.66-2.96, 1 Ru 2.94
Ru 0.2451 0.0018 0.5046 (multiplicity 2)  5 La 2.78-3.09
Ru 0.3863 0.4831 0.2710 (multiplicity 2)  7 La 2.86-3.10



Number 2 is which compound?
La5Ru3